This record from the Alexandria database describes Li2HfTlN after structural relaxation. The functional is PBE.

symmetry	P4/mmm
total energy	-5.39	eV per atom
ΔE_f (raw)	-0.4972	eV/atom
DOS(E_F)	2.080	states/eV/f.u.

Unit cell a=4.3442 b=4.3442 c=4.2340 alpha=90.00 beta=90.00 gamma=90.00
Positions (direct):
1 Li 0.0000 0.5000 0.0000
2 Li 0.5000 0.0000 0.0000
3 Hf 0.0000 0.0000 0.5000
4 Tl 0.5000 0.5000 0.5000
5 N 0.0000 0.0000 0.0000

***

This record from the Alexandria database describes Li5B8C8 after structural relaxation. The functional is PBE.

symmetry	P-1
E above lowest polymorph	2	meV per atom
total energy	-6.66	eV per atom
DOS(E_F)	4.180	states/eV/f.u.

Unit cell a=4.7223 b=5.3991 c=7.7559 alpha=80.12 beta=72.43 gamma=89.99
Positions (direct):
1 Li 0.0000 0.0000 0.0000
2 Li 0.2490 0.1445 0.5010
3 Li 0.4991 0.2564 0.0007
4 Li 0.5009 0.7436 0.9993
5 Li 0.7510 0.8555 0.4990
6 B 0.0397 0.1911 0.2473
7 B 0.0426 0.6852 0.2457
8 B 0.4566 0.5607 0.7497
9 B 0.4603 0.0635 0.7504
10 B 0.5397 0.9365 0.2496
11 B 0.5434 0.4393 0.2503
12 B 0.9574 0.3148 0.7543
13 B 0.9603 0.8089 0.7527
14 C 0.2100 0.9394 0.2443
15 C 0.2164 0.4381 0.2453
16 C 0.2856 0.3100 0.7552
17 C 0.2921 0.8137 0.7488
18 C 0.7079 0.1863 0.2512
19 C 0.7144 0.6900 0.2448
20 C 0.7836 0.5619 0.7547
21 C 0.7900 0.0606 0.7557